1.
Material: Li2Mg8Zn
Method: DFT, PBE
State: optimized geometry

Cell: 7.4816 7.4816 7.6647 Å, 120.19 120.19 39.26°
Last column: nearest neighbours and their distance in Å.
Fractional coordinates of all 11 atoms:
Li 0.2277 0.2277 0.1353  8 Mg 2.91-3.03
Li 0.7723 0.7723 0.8647  8 Mg 2.91-3.03
Mg 0.0505 0.0505 0.2244  1 Li 2.92, 7 Mg 2.94-3.06
Mg 0.1338 0.1338 0.6832  3 Li 2.98-3.03, 2 Zn 3.00, 5 Mg 3.04-3.33
Mg 0.3224 0.3224 0.5776  1 Zn 2.86, 1 Li 2.91, 6 Mg 2.99-3.17
Mg 0.4058 0.4058 0.0507  3 Li 2.91-3.00, 1 Zn 2.96, 4 Mg 3.06-3.16
Mg 0.5942 0.5942 0.9493  3 Li 2.91-3.00, 1 Zn 2.96, 4 Mg 3.06-3.16
Mg 0.6776 0.6776 0.4224  1 Zn 2.86, 1 Li 2.91, 6 Mg 2.99-3.17
Mg 0.8662 0.8662 0.3168  3 Li 2.98-3.03, 2 Zn 3.00, 5 Mg 3.04-3.33
Mg 0.9495 0.9495 0.7756  1 Li 2.92, 7 Mg 2.94-3.06
Zn 0.5000 0.5000 0.5000  8 Mg 2.86-3.00

## Properties
ΔE_f	-34	meV per atom
theoretical density	1980	kg/m³
space group	C2/m (12)
energy above the lowest structure with this stoichiometry	11	meV/atom
DOS at the Fermi energy	3.3	states/eV/cell


2.
Material: Li2MgZn2
Method: DFT, PBE
State: optimized geometry

Cell: 5.2848 5.2848 7.9537 Å, 103.33 103.33 51.02°
Last column: nearest neighbours and their distance in Å.
Fractional coordinates of all 10 atoms:
Li 0.0675 0.5686 0.8579  4 Zn 2.71-2.72, 3 Li 2.88-2.94, 1 Mg 2.93
Li 0.4314 0.9325 0.6421  4 Zn 2.71-2.72, 3 Li 2.88-2.94, 1 Mg 2.93
Li 0.5686 0.0675 0.3579  4 Zn 2.71-2.72, 3 Li 2.88-2.94, 1 Mg 2.93
Li 0.9325 0.4314 0.1421  4 Zn 2.71-2.72, 3 Li 2.88-2.94, 1 Mg 2.93
Mg 0.2492 0.7508 0.2500  6 Zn 2.83-2.84, 8 Li 2.93-3.16
Mg 0.7508 0.2492 0.7500  6 Zn 2.83-2.84, 8 Li 2.93-3.16
Zn 0.1391 0.6375 0.5479  1 Zn 2.55, 4 Li 2.71-2.72, 3 Mg 2.83-2.84
Zn 0.3625 0.8609 0.9521  1 Zn 2.55, 4 Li 2.71-2.72, 3 Mg 2.83-2.84
Zn 0.6375 0.1391 0.0479  1 Zn 2.55, 4 Li 2.71-2.72, 3 Mg 2.83-2.84
Zn 0.8609 0.3625 0.4521  1 Zn 2.55, 4 Li 2.71-2.72, 3 Mg 2.83-2.84

## Properties
ΔE_f	-142	meV per atom
theoretical density	3362	kg/m³
space group	C2/c (15)
energy above the lowest structure with this stoichiometry	0	meV/atom
DOS at the Fermi energy	3.5	states/eV/cell


3.
Material: Li4Mg3Zn2
Method: DFT, PBE
State: optimized geometry

Cell: 5.4870 5.4870 9.9731 Å, 108.79 108.79 35.38°
Last column: nearest neighbours and their distance in Å.
Fractional coordinates of all 9 atoms:
Li 0.0122 0.0122 0.3121  2 Zn 2.75, 2 Li 2.83, 5 Mg 2.99-3.07
Li 0.3202 0.3202 0.1145  2 Zn 2.69, 4 Li 2.81-2.83, 2 Mg 3.01
Li 0.6798 0.6798 0.8855  2 Zn 2.69, 4 Li 2.81-2.83, 2 Mg 3.01
Li 0.9878 0.9878 0.6879  2 Zn 2.75, 2 Li 2.83, 5 Mg 2.99-3.07
Mg 0.0000 0.0000 0.0000  4 Zn 2.84, 8 Li 3.01-3.15
Mg 0.3397 0.3397 0.4338  2 Zn 2.82, 5 Li 2.99-3.12, 2 Mg 3.12
Mg 0.6603 0.6603 0.5662  2 Zn 2.82, 5 Li 2.99-3.12, 2 Mg 3.12
Zn 0.3270 0.3270 0.7831  4 Li 2.69-2.75, 4 Mg 2.82-2.84
Zn 0.6730 0.6730 0.2169  4 Li 2.69-2.75, 4 Mg 2.82-2.84

## Properties
ΔE_f	-106	meV per atom
theoretical density	2349	kg/m³
space group	C2/m (12)
DOS at the Fermi energy	2.6	states/eV/cell


4.
Material: Li6Mg5Zn
Method: DFT, PBE
State: optimized geometry

Cell: 8.2780 8.2780 4.8194 Å, 106.78 106.78 120.73°
Last column: nearest neighbours and their distance in Å.
Fractional coordinates of all 12 atoms:
Li 0.0794 0.3933 0.7362  1 Zn 2.75, 7 Mg 2.86-2.99
Li 0.2257 0.2257 0.2264  2 Zn 2.83-2.85, 6 Mg 2.96-3.03, 1 Li 3.00
Li 0.3933 0.0794 0.7362  1 Zn 2.75, 7 Mg 2.86-2.99
Li 0.6067 0.9206 0.2638  1 Zn 2.75, 7 Mg 2.86-2.99
Li 0.7743 0.7743 0.7736  2 Zn 2.83-2.85, 6 Mg 2.96-3.03, 1 Li 3.00
Li 0.9206 0.6067 0.2638  1 Zn 2.75, 7 Mg 2.86-2.99
Mg 0.1770 0.8230 0.0000  8 Li 2.88-2.96
Mg 0.3340 0.6660 0.5000  8 Li 2.97-3.00, 4 Mg 3.30-3.33
Mg 0.5000 0.5000 0.0000  8 Li 2.86-3.03
Mg 0.6660 0.3340 0.5000  8 Li 2.97-3.00, 4 Mg 3.30-3.33
Mg 0.8230 0.1770 0.0000  8 Li 2.88-2.96
Zn 0.0000 0.0000 0.5000  8 Li 2.75-2.85

## Properties
ΔE_f	-69	meV per atom
theoretical density	1647	kg/m³
space group	C2/m (12)
DOS at the Fermi energy	4.4	states/eV/cell


5.
Material: Li6Mg4Zn
Method: DFT, PBE
State: optimized geometry

Cell: 7.4382 7.4382 5.8225 Å, 103.03 103.03 43.67°
Last column: nearest neighbours and their distance in Å.
Fractional coordinates of all 11 atoms:
Li 0.0000 0.0000 0.0000  1 Zn 2.45, 2 Mg 2.74
Li 0.1984 0.5211 0.7460  1 Zn 2.45
Li 0.4789 0.8016 0.2540  1 Zn 2.45
Li 0.5166 0.1108 0.1070  3 Li 2.83-3.09, 3 Mg 2.89-3.13, 1 Zn 2.91
Li 0.7036 0.2964 0.5000  4 Mg 2.90-3.10, 2 Li 3.00, 2 Zn 3.02
Li 0.8892 0.4834 0.8930  3 Li 2.83-3.09, 3 Mg 2.89-3.13, 1 Zn 2.91
Mg 0.0222 0.3431 0.3699  7 Li 2.86-3.13, 1 Mg 3.19
Mg 0.1235 0.6730 0.2900  3 Li 2.74-2.98, 1 Zn 3.06
Mg 0.3270 0.8765 0.7100  3 Li 2.74-2.98, 1 Zn 3.06
Mg 0.6569 0.9778 0.6301  7 Li 2.86-3.13, 1 Mg 3.19
Zn 0.5569 0.4431 0.0000  3 Li 2.45

## Properties
ΔE_f	-23	meV per atom
theoretical density	1572	kg/m³
space group	C2 (5)
DOS at the Fermi energy	3.6	states/eV/cell


6.
Material: Li3Mg6Zn
Method: DFT, PBE
State: optimized geometry

Cell: 8.4685 4.7660 10.2528 Å, 90.00 104.77 90.00°
Last column: nearest neighbours and their distance in Å.
Fractional coordinates of all 20 atoms:
Li 0.0524 0.2500 0.4016  8 Mg 2.87-3.12
Li 0.1558 0.7500 0.2008  8 Mg 2.87-2.99
Li 0.2530 0.2500 0.9955  8 Mg 2.92-3.15
Li 0.7470 0.7500 0.0045  8 Mg 2.92-3.15
Li 0.8442 0.2500 0.7992  8 Mg 2.87-2.99
Li 0.9476 0.7500 0.5984  8 Mg 2.87-3.12
Mg 0.0381 0.7500 0.9004  7 Li 2.92-3.01, 1 Mg 3.03
Mg 0.1306 0.2500 0.6933  5 Li 2.87-3.01, 1 Zn 2.89, 2 Mg 3.01
Mg 0.2621 0.7500 0.4930  4 Li 2.90-3.12, 3 Zn 2.91-3.04, 3 Mg 3.01-3.23
Mg 0.3431 0.7500 0.7968  8 Mg 3.01-3.04, 2 Zn 3.24, 2 Li 3.35
Mg 0.3562 0.2500 0.3136  4 Li 2.94-3.15, 3 Zn 2.94-2.99, 3 Mg 3.04-3.23
Mg 0.4421 0.7500 0.1004  1 Zn 2.84, 4 Li 2.87-2.99, 3 Mg 3.01-3.02
Mg 0.5579 0.2500 0.8996  1 Zn 2.84, 4 Li 2.87-2.99, 3 Mg 3.01-3.02
Mg 0.6438 0.7500 0.6864  4 Li 2.94-3.15, 3 Zn 2.94-2.99, 3 Mg 3.04-3.23
Mg 0.6569 0.2500 0.2032  8 Mg 3.01-3.04, 2 Zn 3.24, 2 Li 3.35
Mg 0.7379 0.2500 0.5070  4 Li 2.90-3.12, 3 Zn 2.91-3.04, 3 Mg 3.01-3.23
Mg 0.8694 0.7500 0.3067  5 Li 2.87-3.01, 1 Zn 2.89, 2 Mg 3.01
Mg 0.9619 0.2500 0.0996  7 Li 2.92-3.01, 1 Mg 3.03
Zn 0.4357 0.2500 0.6149  8 Mg 2.84-3.04
Zn 0.5643 0.7500 0.3851  8 Mg 2.84-3.04

## Properties
ΔE_f	-57	meV per atom
theoretical density	1926	kg/m³
space group	P2_1/m (11)
energy above the lowest structure with this stoichiometry	0	meV/atom
DOS at the Fermi energy	6.5	states/eV/cell


7.
Material: Li4Mg3Zn
Method: DFT, PBE
State: optimized geometry

Cell: 3.3326 3.3326 13.4916 Å, 90.00 90.00 90.00°
Last column: nearest neighbours and their distance in Å.
Fractional coordinates of all 8 atoms:
Li 0.0000 0.0000 0.1014  4 Zn 2.72, 1 Li 2.74, 4 Mg 2.94
Li 0.0000 0.0000 0.3661  8 Mg 2.97
Li 0.0000 0.0000 0.6339  8 Mg 2.97
Li 0.0000 0.0000 0.8986  4 Zn 2.72, 1 Li 2.74, 4 Mg 2.94
Mg 0.5000 0.5000 0.2317  8 Li 2.94-2.97, 1 Zn 3.13
Mg 0.5000 0.5000 0.5000  8 Li 2.97
Mg 0.5000 0.5000 0.7683  8 Li 2.94-2.97, 1 Zn 3.13
Zn 0.5000 0.5000 0.0000  8 Li 2.72

## Properties
ΔE_f	-81	meV per atom
theoretical density	1841	kg/m³
space group	P4/mmm (123)
energy above the lowest structure with this stoichiometry	0	meV/atom
DOS at the Fermi energy	3.8	states/eV/cell


8.
Material: Li9MgZn2
Method: DFT, PBE
State: optimized geometry

Cell: 4.1974 4.1974 12.0690 Å, 90.00 90.00 90.00°
Last column: nearest neighbours and their distance in Å.
Fractional coordinates of all 12 atoms:
Li 0.0000 0.0000 0.0000  4 Mg 2.97, 8 Li 3.06
Li 0.0000 0.0000 0.3433  8 Li 2.83-2.84, 4 Zn 2.97
Li 0.0000 0.0000 0.6567  8 Li 2.83-2.84, 4 Zn 2.97
Li 0.0000 0.5000 0.1847  2 Zn 2.84, 8 Li 2.84-3.06, 2 Mg 3.06
Li 0.0000 0.5000 0.5000  8 Li 2.83-2.97, 4 Zn 2.83
Li 0.0000 0.5000 0.8153  2 Zn 2.84, 8 Li 2.84-3.06, 2 Mg 3.06
Li 0.5000 0.0000 0.1847  2 Zn 2.84, 8 Li 2.84-3.06, 2 Mg 3.06
Li 0.5000 0.0000 0.5000  8 Li 2.83-2.97, 4 Zn 2.83
Li 0.5000 0.0000 0.8153  2 Zn 2.84, 8 Li 2.84-3.06, 2 Mg 3.06
Mg 0.5000 0.5000 0.0000  12 Li 2.97-3.06
Zn 0.5000 0.5000 0.3431  12 Li 2.83-2.97
Zn 0.5000 0.5000 0.6569  12 Li 2.83-2.97

## Properties
ΔE_f	-67	meV per atom
theoretical density	1699	kg/m³
space group	P4/mmm (123)
energy above the lowest structure with this stoichiometry	0	meV/atom
DOS at the Fermi energy	6.2	states/eV/cell


9.
Material: LiMgZn6
Method: DFT, PBE
State: optimized geometry

Cell: 5.6286 5.6286 4.5416 Å, 90.00 90.00 120.00°
Last column: nearest neighbours and their distance in Å.
Fractional coordinates of all 8 atoms:
Li 0.0000 0.0000 0.0000  12 Zn 2.79-2.81
Mg 0.3333 0.6667 0.5000  12 Zn 2.81-2.82
Zn 0.3322 0.1661 0.5000  8 Zn 2.78-2.82, 2 Li 2.79, 2 Mg 2.81
Zn 0.5057 0.0113 0.0000  8 Zn 2.72-2.91, 2 Li 2.81, 2 Mg 2.82
Zn 0.5057 0.4943 0.0000  8 Zn 2.72-2.91, 2 Li 2.81, 2 Mg 2.82
Zn 0.8339 0.1661 0.5000  8 Zn 2.78-2.82, 2 Li 2.79, 2 Mg 2.81
Zn 0.8339 0.6678 0.5000  8 Zn 2.78-2.82, 2 Li 2.79, 2 Mg 2.81
Zn 0.9887 0.4943 0.0000  8 Zn 2.72-2.91, 2 Li 2.81, 2 Mg 2.82

## Properties
ΔE_f	-115	meV per atom
theoretical density	5646	kg/m³
space group	P-6m2 (187)
DOS at the Fermi energy	1.3	states/eV/cell


10.
Material: Li2MgZn2
Method: DFT, PBE
State: optimized geometry

Cell: 7.4896 7.4896 2.9943 Å, 90.00 90.00 90.00°
Last column: nearest neighbours and their distance in Å.
Fractional coordinates of all 10 atoms:
Li 0.1691 0.3309 0.0000  6 Zn 2.64-2.69
Li 0.3309 0.8309 0.0000  6 Zn 2.64-2.69
Li 0.6691 0.1691 0.0000  6 Zn 2.64-2.69
Li 0.8309 0.6691 0.0000  6 Zn 2.64-2.69
Mg 0.0000 0.0000 0.5000  4 Zn 2.96, 2 Mg 2.99, 8 Li 3.16
Mg 0.5000 0.5000 0.5000  4 Zn 2.96, 2 Mg 2.99, 8 Li 3.16
Zn 0.1256 0.6256 0.5000  6 Li 2.64-2.69, 1 Zn 2.66
Zn 0.3744 0.1256 0.5000  6 Li 2.64-2.69, 1 Zn 2.66
Zn 0.6256 0.8744 0.5000  6 Li 2.64-2.69, 1 Zn 2.66
Zn 0.8744 0.3744 0.5000  6 Li 2.64-2.69, 1 Zn 2.66

## Properties
ΔE_f	-117	meV per atom
theoretical density	3342	kg/m³
space group	P4/mbm (127)
energy above the lowest structure with this stoichiometry	25	meV/atom
DOS at the Fermi energy	3.5	states/eV/cell


11.
Material: Li2Mg6Zn
Method: DFT, PBE
State: optimized geometry

Cell: 8.3334 8.3334 3.0912 Å, 90.00 90.00 120.00°
Last column: nearest neighbours and their distance in Å.
Fractional coordinates of all 9 atoms:
Li 0.3333 0.6667 0.0000  9 Mg 2.96-3.07, 2 Li 3.09
Li 0.6667 0.3333 0.0000  9 Mg 2.96-3.07, 2 Li 3.09
Mg 0.0000 0.3643 0.5000  1 Zn 3.04, 4 Li 3.07, 8 Mg 3.09-3.25
Mg 0.0000 0.7077 0.0000  2 Zn 2.88, 2 Li 2.96, 6 Mg 3.09-3.19
Mg 0.2923 0.2923 0.0000  2 Zn 2.88, 2 Li 2.96, 6 Mg 3.09-3.19
Mg 0.3643 0.0000 0.5000  1 Zn 3.04, 4 Li 3.07, 8 Mg 3.09-3.25
Mg 0.6357 0.6357 0.5000  1 Zn 3.04, 4 Li 3.07, 8 Mg 3.09-3.25
Mg 0.7077 0.0000 0.0000  2 Zn 2.88, 2 Li 2.96, 6 Mg 3.09-3.19
Zn 0.0000 0.0000 0.5000  9 Mg 2.88-3.04, 2 Zn 3.09

## Properties
ΔE_f	-47	meV per atom
theoretical density	2011	kg/m³
space group	P-62m (189)
energy above the lowest structure with this stoichiometry	0	meV/atom
DOS at the Fermi energy	4.6	states/eV/cell


12.
Material: Li8Mg4Zn
Method: DFT, PBE
State: optimized geometry

Cell: 3.2724 4.8118 16.3479 Å, 90.00 90.00 90.00°
Last column: nearest neighbours and their distance in Å.
Fractional coordinates of all 13 atoms:
Li 0.0000 0.0000 0.0000  1 Zn 2.52, 2 Li 2.78
Li 0.0000 0.0000 0.2687  6 Li 2.69-2.91, 2 Mg 2.86
Li 0.0000 0.5000 0.4371  6 Mg 2.94-3.24, 6 Li 3.02-3.27
Li 0.0000 0.5000 0.7547  2 Zn 2.83, 6 Li 2.97-3.12, 2 Mg 3.14
Li 0.5000 0.0000 0.1377  4 Li 2.69-2.78, 4 Mg 2.95
Li 0.5000 0.0000 0.7183  2 Zn 2.65, 2 Mg 2.93, 4 Li 2.97
Li 0.5000 0.5000 0.2763  6 Li 2.91-3.10, 2 Mg 3.18
Li 0.5000 0.5000 0.5923  4 Mg 2.93, 8 Li 3.02-3.27
Mg 0.0000 0.0000 0.5696  8 Li 2.93-3.24, 4 Mg 3.05-3.27
Mg 0.0000 0.5000 0.1093  8 Li 2.95-3.18, 2 Mg 3.27
Mg 0.5000 0.0000 0.4121  6 Li 2.86-2.94, 2 Mg 3.05
Mg 0.5000 0.5000 0.9189  6 Li 3.14-3.20, 4 Zn 3.14, 4 Mg 3.27-3.52
Zn 0.0000 0.0000 0.8460  3 Li 2.52-2.65

## Properties
ΔE_f	-17	meV per atom
theoretical density	1407	kg/m³
space group	Pmm2 (25)
DOS at the Fermi energy	5.6	states/eV/cell